[1]
Ba5Zn | meta-GGA SCAN | single point on PBEsol structure

```
6
Lattice="4.157 0.000 0.000 0.000 4.157 0.000 0.000 0.000 17.001" Properties=species:S:1:pos:R:3 pbc="T T T"
Zn 2.079 2.079 0.000
Ba 0.000 0.000 15.143
Ba 0.000 0.000 1.858
Ba 2.079 2.079 11.774
Ba 2.079 2.079 5.228
Ba 0.000 0.000 8.501
```

- DFT formation energy (eV/f.u.) = -0.278
- energy relative to the lowest polymorph listed for this composition (meV per atom) = 0.0
- SG = P4/mmm

---

[2]
Ba2ZrZn | meta-GGA SCAN | single point on PBEsol structure

```
4
Lattice="-0.309 -0.209 3.645 1.501 -3.342 -0.065 8.820 3.942 0.973" Properties=species:S:1:pos:R:3 pbc="T T T"
Ba 8.340 3.727 0.920
Ba 3.436 -0.507 2.103
Zn 4.927 2.202 0.543
Zr 6.541 0.881 2.446
```

- DFT formation energy (eV/f.u.) = 0.551
- SG = P4mm